Here is an optimized crystal structure of Li2HfWF from Alexandria. Energies are from PBE+U.

- uncorrected energy (eV/atom) = -3.214

a b c (Å): 5.730 5.730 5.181
angles (deg): 90.00 90.00 90.00
Space group P4/mmm (No. 123)
One atom of each set of equivalent atoms:
Li 0.000 0.500 0.000
Hf 0.000 0.000 0.000
W 0.000 0.000 0.500
F 0.500 0.500 0.500